## SrBe2Se (PBE)

Data for a relaxed SrBe2Se crystal.

Unit cell a=5.297 b=5.297 c=5.297 alpha=130.56 beta=130.56 gamma=72.51
Sites, in units of the cell vectors:
Sr 0.000 0.000 0.000
Be 0.250 0.750 0.500
Be 0.500 0.500 0.000
Se 0.750 0.250 0.500

Its final energy is -2.760 eV/atom. The uncorrected formation energy comes out at 0.395 eV per atom.